The following is a GGA-PBE calculation of a relaxed KZrBe crystal, from OQMD via LeMat-Bulk.

- ΔE to the lowest computed polymorph: 13.93 kcal/mol of atoms
- Magnetic moment: 0.01 μB per atom
- E_tot: -2.461 eV per atom

Unit cell a=6.600 b=6.600 c=6.600 alpha=90.00 beta=90.00 gamma=90.00
Fractional positions:
K: 0.000 0.000 0.000
K: 0.000 0.500 0.500
K: 0.500 0.000 0.500
K: 0.500 0.500 0.000
Zr: 0.250 0.250 0.250
Zr: 0.250 0.750 0.750
Zr: 0.750 0.250 0.750
Zr: 0.750 0.750 0.250
Be: 0.250 0.250 0.750
Be: 0.250 0.750 0.250
Be: 0.750 0.250 0.250
Be: 0.750 0.750 0.750